1.
Compound: Li2Ta2O5
Source: the Alexandria database
Functional: GGA-PBE
Structure: relaxed

POSCAR file:
```
Li2Ta2O5
1.0
4.156 0.000 0.000
0.000 4.069 0.000
-2.066 0.000 6.186
Li Ta O
2 2 5
Direct
0.162 0.000 0.323 Li
0.838 0.000 0.677 Li
0.343 0.500 0.687 Ta
0.657 0.500 0.313 Ta
0.161 0.500 0.321 O
0.333 0.000 0.667 O
0.500 0.500 0.000 O
0.667 0.000 0.333 O
0.839 0.500 0.679 O
```

symmetry = No. 10
formation energy from raw total energies = -2.40 eV per atom
spin magnetization = 0.000 μB/f.u.

=====

2.
Compound: Li8TaO6
Source: the Alexandria database
Functional: GGA-PBE
Structure: relaxed

POSCAR file:
```
Li8TaO6
1.0
5.602 0.000 0.000
-2.801 4.852 0.000
0.000 0.000 11.566
Li Ta O
16 2 12
Direct
0.000 0.311 0.000 Li
0.000 0.392 0.366 Li
0.000 0.608 0.866 Li
0.000 0.689 0.500 Li
0.311 0.000 0.000 Li
0.311 0.311 0.500 Li
0.333 0.667 0.135 Li
0.333 0.667 0.635 Li
0.392 0.000 0.366 Li
0.392 0.392 0.866 Li
0.608 0.000 0.866 Li
0.608 0.608 0.366 Li
0.667 0.333 0.135 Li
0.667 0.333 0.635 Li
0.689 0.000 0.500 Li
0.689 0.689 0.000 Li
0.000 0.000 0.210 Ta
0.000 0.000 0.710 Ta
0.000 0.000 0.381 O
0.000 0.000 0.881 O
0.000 0.334 0.189 O
0.000 0.666 0.689 O
0.333 0.667 0.453 O
0.333 0.667 0.953 O
0.334 0.000 0.189 O
0.334 0.334 0.689 O
0.666 0.000 0.689 O
0.666 0.666 0.189 O
0.667 0.333 0.453 O
0.667 0.333 0.953 O
```

symmetry = No. 185
formation energy from raw total energies = -1.98 eV per atom
spin magnetization = 0.532 μB/f.u.

=====

3.
Compound: LiTaO4
Source: the Alexandria database
Functional: GGA-PBE
Structure: relaxed

POSCAR file:
```
LiTaO4
1.0
-2.479 2.479 4.995
2.479 -2.479 4.995
2.479 2.479 -4.995
Li Ta O
2 2 8
Direct
0.375 0.625 0.750 Li
0.625 0.375 0.250 Li
0.125 0.875 0.250 Ta
0.875 0.125 0.750 Ta
0.000 0.230 0.230 O
0.000 0.770 0.770 O
0.230 0.000 0.730 O
0.230 0.500 0.230 O
0.500 0.230 0.730 O
0.500 0.770 0.270 O
0.770 0.000 0.270 O
0.770 0.500 0.770 O
```

symmetry = No. 141
formation energy from raw total energies = -1.74 eV per atom
spin magnetization = 1.639 μB/f.u.

=====

4.
Compound: LiTa3O
Source: the Alexandria database
Functional: GGA-PBE
Structure: relaxed

POSCAR file:
```
LiTa3O
1.0
4.241 0.000 0.000
0.000 4.241 0.000
0.000 0.000 4.241
Li Ta O
1 3 1
Direct
0.000 0.000 0.000 Li
0.000 0.500 0.500 Ta
0.500 0.000 0.500 Ta
0.500 0.500 0.000 Ta
0.500 0.500 0.500 O
```

symmetry = No. 221
formation energy from raw total energies = -0.29 eV per atom
spin magnetization = 0.000 μB/f.u.
offset from the most stable computed form = 0.000 eV per atom

=====

5.
Compound: Li2Ta3O8
Source: the Alexandria database
Functional: GGA-PBE
Structure: relaxed

POSCAR file:
```
Li2Ta3O8
1.0
5.296 -3.090 0.000
5.296 3.090 0.000
-1.824 0.000 4.964
Li Ta O
2 3 8
Direct
0.187 0.187 0.141 Li
0.813 0.813 0.859 Li
0.229 0.771 0.500 Ta
0.500 0.500 0.000 Ta
0.771 0.229 0.500 Ta
0.117 0.117 0.727 O
0.167 0.628 0.747 O
0.372 0.833 0.253 O
0.390 0.390 0.249 O
0.610 0.610 0.751 O
0.628 0.167 0.747 O
0.833 0.372 0.253 O
0.883 0.883 0.273 O
```

symmetry = No. 12
formation energy from raw total energies = -2.58 eV per atom
spin magnetization = 0.019 μB/f.u.

=====

6.
Compound: Li2TaO3
Source: the Alexandria database
Functional: GGA-PBE
Structure: relaxed

POSCAR file:
```
Li2TaO3
1.0
0.000 4.301 8.857
3.109 0.000 8.857
3.109 4.301 0.000
Li Ta O
8 4 12
Direct
0.047 0.047 0.203 Li
0.121 0.121 0.629 Li
0.203 0.203 0.047 Li
0.371 0.371 0.879 Li
0.629 0.629 0.121 Li
0.797 0.797 0.953 Li
0.879 0.879 0.371 Li
0.953 0.953 0.797 Li
0.300 0.300 0.450 Ta
0.450 0.450 0.300 Ta
0.550 0.550 0.700 Ta
0.700 0.700 0.550 Ta
0.056 0.518 0.234 O
0.116 0.634 0.634 O
0.234 0.691 0.056 O
0.309 0.766 0.482 O
0.366 0.884 0.884 O
0.482 0.944 0.309 O
0.518 0.056 0.691 O
0.634 0.116 0.116 O
0.691 0.234 0.518 O
0.766 0.309 0.944 O
0.884 0.366 0.366 O
0.944 0.482 0.766 O
```

symmetry = No. 70
formation energy from raw total energies = -2.36 eV per atom
spin magnetization = 0.000 μB/f.u.

=====

7.
Compound: LiTa2O
Source: the Alexandria database
Functional: GGA-PBE
Structure: relaxed

POSCAR file:
```
LiTa2O
1.0
-2.574 2.574 5.531
2.574 -2.574 5.531
2.574 2.574 -5.531
Li Ta O
2 4 2
Direct
0.000 0.000 0.000 Li
0.750 0.250 0.500 Li
0.253 0.625 0.128 Ta
0.375 0.503 0.628 Ta
0.497 0.125 0.872 Ta
0.875 0.747 0.372 Ta
0.250 0.750 0.500 O
0.500 0.500 0.000 O
```

symmetry = No. 122
formation energy from raw total energies = 0.06 eV per atom
spin magnetization = 0.000 μB/f.u.

=====

8.
Compound: Li3TaO
Source: the Alexandria database
Functional: GGA-PBE
Structure: relaxed

POSCAR file:
```
Li3TaO
1.0
5.262 0.000 0.000
0.000 5.262 0.000
0.000 0.000 5.262
Li Ta O
3 1 1
Direct
0.000 0.000 0.500 Li
0.000 0.500 0.000 Li
0.500 0.000 0.000 Li
0.000 0.000 0.000 Ta
0.500 0.500 0.500 O
```

symmetry = No. 221
formation energy from raw total energies = 1.65 eV per atom
spin magnetization = 4.000 μB/f.u.
offset from the most stable computed form = 1.554 eV per atom

=====

9.
Compound: LiTa3O8
Source: the Alexandria database
Functional: GGA-PBE
Structure: relaxed

POSCAR file:
```
LiTa3O8
1.0
17.100 0.000 0.000
0.000 3.922 0.000
0.000 0.000 9.065
Li Ta O
4 12 32
Direct
0.136 0.000 0.155 Li
0.364 0.000 0.155 Li
0.636 0.000 0.845 Li
0.864 0.000 0.845 Li
0.058 0.500 0.813 Ta
0.131 0.500 0.398 Ta
0.250 0.500 0.042 Ta
0.250 0.500 0.680 Ta
0.369 0.500 0.398 Ta
0.442 0.500 0.813 Ta
0.558 0.500 0.187 Ta
0.631 0.500 0.602 Ta
0.750 0.500 0.320 Ta
0.750 0.500 0.958 Ta
0.869 0.500 0.602 Ta
0.942 0.500 0.187 Ta
0.000 0.500 0.000 O
0.023 0.500 0.331 O
0.064 0.000 0.827 O
0.130 0.500 0.613 O
0.134 0.000 0.375 O
0.162 0.500 0.178 O
0.176 0.500 0.868 O
0.250 0.000 0.058 O
0.250 0.000 0.682 O
0.250 0.500 0.450 O
0.324 0.500 0.868 O
0.338 0.500 0.178 O
0.366 0.000 0.375 O
0.370 0.500 0.613 O
0.436 0.000 0.827 O
0.477 0.500 0.331 O
0.500 0.500 0.000 O
0.523 0.500 0.669 O
0.564 0.000 0.173 O
0.630 0.500 0.387 O
0.634 0.000 0.625 O
0.662 0.500 0.822 O
0.676 0.500 0.132 O
0.750 0.000 0.318 O
0.750 0.000 0.942 O
0.750 0.500 0.550 O
0.824 0.500 0.132 O
0.838 0.500 0.822 O
0.866 0.000 0.625 O
0.870 0.500 0.387 O
0.936 0.000 0.173 O
0.977 0.500 0.669 O
```

symmetry = No. 51
formation energy from raw total energies = -2.77 eV per atom
spin magnetization = 0.000 μB/f.u.
offset from the most stable computed form = 0.022 eV per atom

=====

10.
Compound: Li3TaO
Source: the Alexandria database
Functional: GGA-PBE
Structure: relaxed

POSCAR file:
```
Li3TaO
1.0
3.971 0.000 0.000
0.000 3.971 0.000
0.000 0.000 3.971
Li Ta O
3 1 1
Direct
0.000 0.000 0.500 Li
0.000 0.500 0.000 Li
0.500 0.000 0.000 Li
0.500 0.500 0.500 Ta
0.000 0.000 0.000 O
```

symmetry = No. 221
formation energy from raw total energies = 0.10 eV per atom
spin magnetization = 0.000 μB/f.u.
offset from the most stable computed form = 0.000 eV per atom

=====

11.
Compound: LiTa4O12
Source: the Alexandria database
Functional: GGA-PBE
Structure: relaxed

POSCAR file:
```
LiTa4O12
1.0
-3.959 3.959 3.959
3.959 -3.959 3.959
3.959 3.959 -3.959
Li Ta O
1 4 12
Direct
0.000 0.000 0.000 Li
0.000 0.000 0.500 Ta
0.000 0.500 0.000 Ta
0.500 0.000 0.000 Ta
0.500 0.500 0.500 Ta
0.000 0.246 0.754 O
0.000 0.754 0.246 O
0.246 0.000 0.754 O
0.246 0.246 0.491 O
0.246 0.491 0.246 O
0.246 0.754 0.000 O
0.491 0.246 0.246 O
0.509 0.754 0.754 O
0.754 0.000 0.246 O
0.754 0.246 0.000 O
0.754 0.509 0.754 O
0.754 0.754 0.509 O
```

symmetry = No. 229
formation energy from raw total energies = -2.36 eV per atom
spin magnetization = 2.812 μB/f.u.

=====

12.
Compound: Li5TaO6
Source: the Alexandria database
Functional: GGA-PBE
Structure: relaxed

POSCAR file:
```
Li5TaO6
1.0
2.593 -4.494 0.000
2.593 4.494 0.000
-1.727 0.000 4.823
Li Ta O
5 1 6
Direct
0.000 0.000 0.000 Li
0.168 0.832 0.500 Li
0.314 0.686 0.000 Li
0.686 0.314 0.000 Li
0.832 0.168 0.500 Li
0.500 0.500 0.500 Ta
0.107 0.422 0.260 O
0.260 0.260 0.734 O
0.422 0.107 0.260 O
0.578 0.893 0.740 O
0.740 0.740 0.266 O
0.893 0.578 0.740 O
```

symmetry = No. 12
formation energy from raw total energies = -2.01 eV per atom
spin magnetization = 2.028 μB/f.u.

=====

Q: Among the records above, which one has the highest formation energy from raw total energies?
A: number 8

=====

Q: What is the formation energy from raw total energies in the twelfth record?
A: -2.01 eV per atom